[1]
SrTl3Br | GGA-PBE | relaxed

Output
Magnetization = 0.00 μB/f.u.
Raw formation energy = -0.13 eV per atom
Symmetry = Pm-3m, No. 221
Relative energy among the computed polymorphs = 0.0 meV per atom

Lattice parameters (Å, degrees): 6.009 6.009 6.009 90.00 90.00 90.00
Fractional coordinates of all 5 atoms:
Sr (0.000, 0.000, 0.000)
Tl (0.000, 0.500, 0.500)
Tl (0.500, 0.000, 0.500)
Tl (0.500, 0.500, 0.000)
Br (0.500, 0.500, 0.500)

***

[2]
SrTmTlBr6 | GGA-PBE | relaxed

Output
Magnetization = 0.00 μB/f.u.
Raw formation energy = -1.74 eV per atom
Symmetry = P-31c, No. 163

Lattice parameters (Å, degrees): 7.653 7.653 14.060 90.00 90.00 120.00
Fractional coordinates of all 18 atoms:
Sr (0.333, 0.667, 0.250)
Sr (0.667, 0.333, 0.750)
Tm (0.333, 0.667, 0.750)
Tm (0.667, 0.333, 0.250)
Tl (0.000, 0.000, 0.000)
Tl (0.000, 0.000, 0.500)
Br (0.028, 0.381, 0.635)
Br (0.028, 0.648, 0.865)
Br (0.352, 0.381, 0.865)
Br (0.352, 0.972, 0.635)
Br (0.381, 0.028, 0.135)
Br (0.381, 0.352, 0.365)
Br (0.619, 0.648, 0.635)
Br (0.619, 0.972, 0.865)
Br (0.648, 0.028, 0.365)
Br (0.648, 0.619, 0.135)
Br (0.972, 0.352, 0.135)
Br (0.972, 0.619, 0.365)

***

[3]
Sr2TmTlBr8 | GGA-PBE | relaxed

Output
Magnetization = 0.00 μB/f.u.
Raw formation energy = -1.80 eV per atom
Symmetry = P2/m, No. 10

Lattice parameters (Å, degrees): 6.858 9.426 7.164 90.00 90.08 90.00
Fractional coordinates of all 12 atoms:
Sr (0.000, 0.250, 0.000)
Sr (0.000, 0.750, 0.000)
Tm (0.500, 0.000, 0.500)
Tl (0.500, 0.500, 0.500)
Br (0.233, 0.500, 0.866)
Br (0.251, 0.000, 0.818)
Br (0.271, 0.209, 0.343)
Br (0.271, 0.791, 0.343)
Br (0.729, 0.209, 0.657)
Br (0.729, 0.791, 0.657)
Br (0.749, 0.000, 0.182)
Br (0.767, 0.500, 0.134)

***

[4]
SrTlVBr6 | GGA-PBE | relaxed

Output
Magnetization = 2.00 μB/f.u.
Raw formation energy = -1.25 eV per atom
Symmetry = P-31c, No. 163

Lattice parameters (Å, degrees): 7.445 7.445 13.757 90.00 90.00 120.00
Fractional coordinates of all 18 atoms:
Sr (0.333, 0.667, 0.250)
Sr (0.667, 0.333, 0.750)
Tl (0.000, 0.000, 0.000)
Tl (0.000, 0.000, 0.500)
V (0.333, 0.667, 0.750)
V (0.667, 0.333, 0.250)
Br (0.050, 0.392, 0.640)
Br (0.050, 0.657, 0.860)
Br (0.343, 0.392, 0.860)
Br (0.343, 0.950, 0.640)
Br (0.392, 0.050, 0.140)
Br (0.392, 0.343, 0.360)
Br (0.608, 0.657, 0.640)
Br (0.608, 0.950, 0.860)
Br (0.657, 0.050, 0.360)
Br (0.657, 0.608, 0.140)
Br (0.950, 0.343, 0.140)
Br (0.950, 0.608, 0.360)

***

[5]
SrTl2VBr6 | GGA-PBE | relaxed

Output
Magnetization = 3.00 μB/f.u.
Raw formation energy = -1.18 eV per atom
Symmetry = R-3, No. 148

Lattice parameters (Å, degrees): 7.729 7.729 7.729 62.05 62.05 62.05
Fractional coordinates of all 10 atoms:
Sr (0.000, 0.000, 0.000)
Tl (0.277, 0.277, 0.277)
Tl (0.723, 0.723, 0.723)
V (0.500, 0.500, 0.500)
Br (0.185, 0.720, 0.351)
Br (0.280, 0.649, 0.815)
Br (0.351, 0.185, 0.720)
Br (0.649, 0.815, 0.280)
Br (0.720, 0.351, 0.185)
Br (0.815, 0.280, 0.649)

***

[6]
SrYTlBr6 | GGA-PBE | relaxed

Output
Magnetization = 0.00 μB/f.u.
Raw formation energy = -1.75 eV per atom
Symmetry = P-31c, No. 163

Lattice parameters (Å, degrees): 7.693 7.693 14.098 90.00 90.00 120.00
Fractional coordinates of all 18 atoms:
Sr (0.333, 0.667, 0.250)
Sr (0.667, 0.333, 0.750)
Y (0.333, 0.667, 0.750)
Y (0.667, 0.333, 0.250)
Tl (0.000, 0.000, 0.000)
Tl (0.000, 0.000, 0.500)
Br (0.024, 0.378, 0.634)
Br (0.024, 0.646, 0.866)
Br (0.354, 0.378, 0.866)
Br (0.354, 0.976, 0.634)
Br (0.378, 0.024, 0.134)
Br (0.378, 0.354, 0.366)
Br (0.622, 0.646, 0.634)
Br (0.622, 0.976, 0.866)
Br (0.646, 0.024, 0.366)
Br (0.646, 0.622, 0.134)
Br (0.976, 0.354, 0.134)
Br (0.976, 0.622, 0.366)

***

[7]
SrTl2ZnBr6 | GGA-PBE | relaxed

Output
Magnetization = 0.00 μB/f.u.
Raw formation energy = -1.18 eV per atom
Symmetry = R3, No. 146

Lattice parameters (Å, degrees): 7.884 7.884 7.884 59.84 59.84 59.84
Fractional coordinates of all 10 atoms:
Sr (0.000, 0.000, 0.000)
Tl (0.279, 0.279, 0.279)
Tl (0.777, 0.777, 0.777)
Zn (0.500, 0.500, 0.500)
Br (0.182, 0.715, 0.347)
Br (0.258, 0.650, 0.808)
Br (0.347, 0.182, 0.715)
Br (0.650, 0.808, 0.258)
Br (0.715, 0.347, 0.182)
Br (0.808, 0.258, 0.650)

***

[8]
SrTm2Br8 | GGA-PBE | relaxed

Output
Magnetization = 0.00 μB/f.u.
Raw formation energy = -1.79 eV per atom
Symmetry = C2/m, No. 12

Lattice parameters (Å, degrees): 8.930 8.930 7.546 98.23 98.23 61.14
Fractional coordinates of all 11 atoms:
Sr (0.000, 0.000, 0.000)
Tm (0.183, 0.183, 0.650)
Tm (0.817, 0.817, 0.350)
Br (0.121, 0.687, 0.221)
Br (0.167, 0.167, 0.294)
Br (0.313, 0.879, 0.779)
Br (0.348, 0.348, 0.773)
Br (0.652, 0.652, 0.227)
Br (0.687, 0.121, 0.221)
Br (0.833, 0.833, 0.706)
Br (0.879, 0.313, 0.779)

***

The calculation returns the following mass density values, one per record and in order: 6.0 4.4 4.3 4.1 5.0 4.0 5.0 3.4 g/cm3.